! PBE BeCr2TcBi, relaxed; values from VASP
! total DFT energy (no corrections) = -6.02 eV/atom
! formation enthalpy at 0 K = 1.43 eV per atom
&SYSTEM
  ibrav = 0, nat = 5, ntyp = 4
/
ATOMIC_SPECIES
Be 9.01 Be.upf
Bi 208.98 Bi.upf
Cr 52.00 Cr.upf
Tc 98.00 Tc.upf
ATOMIC_POSITIONS crystal
Be 0.5000 0.5000 0.5000
Bi 0.0000 0.5000 0.0000
Cr 0.5000 0.0000 0.0000
Cr 0.0000 0.0000 0.5000
Tc 0.0000 0.0000 0.0000
CELL_PARAMETERS angstrom
-1.5399 3.3741 -2.8625
-2.2474 -3.5908 -3.0236
-3.9352 0.3415 2.5194

***

! PBE BeTl2CrBi, relaxed; values from VASP
! total DFT energy (no corrections) = -3.56 eV/atom
! formation enthalpy at 0 K = 0.83 eV per atom
&SYSTEM
  ibrav = 0, nat = 5, ntyp = 4
/
ATOMIC_SPECIES
Bi 208.98 Bi.upf
Cr 52.00 Cr.upf
Tl 204.38 Tl.upf
Be 9.01 Be.upf
ATOMIC_POSITIONS crystal
Bi 0.5000 0.5000 0.5000
Cr 0.0000 0.0000 0.0000
Tl 0.5000 0.0000 0.0000
Tl 0.0000 0.0000 0.5000
Be 0.0000 0.5000 0.0000
CELL_PARAMETERS angstrom
-1.7584 4.3239 -2.6081
-4.3107 -1.5747 0.2956
-0.6151 2.5577 4.6551

***

! PBE CsBe2Bi2, relaxed; values from VASP
! total DFT energy (no corrections) = -3.15 eV/atom
! formation enthalpy at 0 K = 0.06 eV per atom
&SYSTEM
  ibrav = 0, nat = 5, ntyp = 3
/
ATOMIC_SPECIES
Bi 208.98 Bi.upf
Cs 132.91 Cs.upf
Be 9.01 Be.upf
ATOMIC_POSITIONS crystal
Bi 0.6561 0.6561 0.6878
Bi 0.3439 0.3439 0.3122
Cs 0.0000 0.0000 0.0000
Be 0.7500 0.2500 0.5000
Be 0.2500 0.7500 0.5000
CELL_PARAMETERS angstrom
-3.7753 1.3210 -0.3757
-0.4586 -0.1767 3.9872
0.7547 8.9791 2.5087

***

! PBE Cs3BeBi, relaxed; values from VASP
! total DFT energy (no corrections) = -1.52 eV/atom
! formation enthalpy at 0 K = 0.51 eV per atom
&SYSTEM
  ibrav = 0, nat = 5, ntyp = 3
/
ATOMIC_SPECIES
Be 9.01 Be.upf
Cs 132.91 Cs.upf
Bi 208.98 Bi.upf
ATOMIC_POSITIONS crystal
Be 0.5000 0.5000 0.5000
Cs 0.0000 0.0000 0.5000
Cs 0.5000 0.0000 0.0000
Cs 0.0000 0.5000 0.0000
Bi 0.0000 0.0000 0.0000
CELL_PARAMETERS angstrom
-5.8473 -4.4750 -1.9251
0.7240 -3.7725 6.5701
-4.8174 4.8647 3.3241

***

Q: What is the total DFT energy (no corrections) in the second record?
A: -3.56 eV/atom

***

Q: total DFT energy (no corrections) of number 3 (CsBe2Bi2)?
A: -3.15 eV/atom

***

Q: Which formula does entry 4 have?
A: Cs3BeBi

***

Q: Which value of total DFT energy (no corrections) does entry 1 give?
A: -6.02 eV/atom